# 1
Density functional theory data (PBE) for a relaxed structure of Mg2CdIn. Values from VASP.

Summary:
- Theoretical density: 4.904 g/cm³
- Crystal system: cubic
- Space group: F-43m, No. 216

Geometry as Quantum ESPRESSO input:
```
&SYSTEM
  ibrav = 0, nat = 4, ntyp = 3
/
ATOMIC_SPECIES
Mg 24.30 Mg.upf
Cd 112.41 Cd.upf
In 114.82 In.upf
ATOMIC_POSITIONS crystal
Mg 0.000 0.000 0.000
Mg 0.250 0.250 0.250
Cd 0.500 0.500 0.500
In 0.750 0.750 0.750
CELL_PARAMETERS angstrom
-4.056 -2.632 -1.600
-2.136 -3.484 3.039
-4.577 0.876 2.055
```

---

# 2
Density functional theory data (PBE) for a relaxed structure of Mg8Cd4In3. Values from VASP.

Summary:
- Theoretical density: 4.372 g/cm³
- Crystal system: monoclinic
- Space group: C2/m, No. 12

Geometry as Quantum ESPRESSO input:
```
&SYSTEM
  ibrav = 0, nat = 15, ntyp = 3
/
ATOMIC_SPECIES
Mg 24.30 Mg.upf
Cd 112.41 Cd.upf
In 114.82 In.upf
ATOMIC_POSITIONS crystal
Mg 0.511 0.254 0.254
Mg 0.000 0.637 0.363
Mg 0.000 0.251 0.251
Mg 0.500 0.755 0.245
Mg 0.500 0.245 0.755
Mg 0.000 0.749 0.749
Mg 0.000 0.363 0.637
Mg 0.489 0.746 0.746
Cd 0.500 0.000 0.000
Cd 0.000 0.500 0.000
Cd 0.000 0.000 0.000
Cd 0.000 0.000 0.500
In 0.500 0.500 0.000
In 0.500 0.000 0.500
In 0.500 0.500 0.500
CELL_PARAMETERS angstrom
-5.559 -0.310 -2.606
1.705 -6.864 4.708
-0.011 4.853 6.974
```

---

# 3
Density functional theory data (PBE) for a relaxed structure of MgCdIn2. Values from VASP.

Summary:
- Theoretical density: 6.162 g/cm³
- Crystal system: orthorhombic
- Space group: Imm2, No. 44

Geometry as Quantum ESPRESSO input:
```
&SYSTEM
  ibrav = 0, nat = 4, ntyp = 3
/
ATOMIC_SPECIES
Cd 112.41 Cd.upf
In 114.82 In.upf
Mg 24.30 Mg.upf
ATOMIC_POSITIONS crystal
Cd 0.244 0.744 0.488
In 0.997 0.997 0.993
In 0.755 0.255 0.510
Mg 0.504 0.504 0.009
CELL_PARAMETERS angstrom
3.665 0.000 0.000
0.000 5.258 0.000
-1.833 -2.629 5.123
```

---

# 4
Density functional theory data (PBE) for a relaxed structure of MgCdIn. Values from VASP.

Summary:
- Theoretical density: 5.960 g/cm³
- Crystal system: triclinic
- Space group: P-1, No. 2

Geometry as Quantum ESPRESSO input:
```
&SYSTEM
  ibrav = 0, nat = 6, ntyp = 3
/
ATOMIC_SPECIES
Mg 24.30 Mg.upf
Cd 112.41 Cd.upf
In 114.82 In.upf
ATOMIC_POSITIONS crystal
Mg 0.000 0.500 0.000
Mg 0.000 0.500 0.500
Cd 0.685 0.805 0.833
Cd 0.315 0.195 0.167
In 0.676 0.808 0.328
In 0.324 0.192 0.672
CELL_PARAMETERS angstrom
7.070 1.302 0.642
-1.538 2.882 0.032
0.835 0.400 6.353
```

---

# 5
Density functional theory data (PBE) for a relaxed structure of MgCd6In2. Values from VASP.

Summary:
- Theoretical density: 7.189 g/cm³
- Crystal system: monoclinic
- Space group: C2/m, No. 12

Geometry as Quantum ESPRESSO input:
```
&SYSTEM
  ibrav = 0, nat = 18, ntyp = 3
/
ATOMIC_SPECIES
Mg 24.30 Mg.upf
Cd 112.41 Cd.upf
In 114.82 In.upf
ATOMIC_POSITIONS crystal
Mg 0.250 0.750 0.250
Mg 0.750 0.250 0.750
Cd 0.327 0.331 0.499
Cd 0.173 0.501 0.669
Cd 0.673 0.669 0.501
Cd 0.827 0.499 0.331
Cd 0.911 0.082 0.582
Cd 0.589 0.418 0.918
Cd 0.089 0.918 0.418
Cd 0.411 0.582 0.082
Cd 0.173 0.169 0.001
Cd 0.327 0.999 0.831
Cd 0.827 0.831 0.999
Cd 0.673 0.001 0.169
In 0.000 0.336 0.164
In 0.500 0.836 0.664
In 0.000 0.664 0.836
In 0.500 0.164 0.336
CELL_PARAMETERS angstrom
-3.424 -5.315 5.547
9.656 -1.224 -2.483
-2.318 9.753 0.643
```

---

# 6
Density functional theory data (PBE) for a relaxed structure of Mg2Cd2In. Values from VASP.

Summary:
- Theoretical density: 5.145 g/cm³
- Crystal system: tetragonal
- Space group: I4/mmm, No. 139

Geometry as Quantum ESPRESSO input:
```
&SYSTEM
  ibrav = 0, nat = 5, ntyp = 3
/
ATOMIC_SPECIES
Mg 24.30 Mg.upf
Cd 112.41 Cd.upf
In 114.82 In.upf
ATOMIC_POSITIONS crystal
Mg 0.750 0.250 0.500
Mg 0.250 0.750 0.500
Cd 0.398 0.398 0.204
Cd 0.602 0.602 0.796
In 0.000 0.000 0.000
CELL_PARAMETERS angstrom
4.275 0.000 0.000
0.000 4.275 0.000
2.137 2.137 6.857
```

---

# 7
Density functional theory data (PBE) for a relaxed structure of Mg7Cd3In. Values from VASP.

Summary:
- Theoretical density: 4.018 g/cm³
- Crystal system: orthorhombic
- Space group: Cmcm, No. 63

Geometry as Quantum ESPRESSO input:
```
&SYSTEM
  ibrav = 0, nat = 22, ntyp = 3
/
ATOMIC_SPECIES
Mg 24.30 Mg.upf
Cd 112.41 Cd.upf
In 114.82 In.upf
ATOMIC_POSITIONS crystal
Mg 0.314 0.627 0.750
Mg 0.686 0.373 0.250
Mg 0.545 0.089 0.393
Mg 0.455 0.911 0.607
Mg 0.455 0.911 0.893
Mg 0.545 0.089 0.107
Mg 0.407 0.814 0.399
Mg 0.593 0.186 0.601
Mg 0.274 0.548 0.409
Mg 0.726 0.452 0.591
Mg 0.726 0.452 0.909
Mg 0.274 0.548 0.091
Mg 0.407 0.814 0.101
Mg 0.593 0.186 0.899
Cd 0.151 0.302 0.434
Cd 0.849 0.698 0.566
Cd 0.168 0.335 0.750
Cd 0.832 0.665 0.250
Cd 0.151 0.302 0.066
Cd 0.849 0.698 0.934
In 0.975 0.950 0.250
In 0.025 0.050 0.750
CELL_PARAMETERS angstrom
3.271 0.000 0.000
-1.636 11.641 0.000
0.000 0.000 13.503
```

---

# 8
Density functional theory data (PBE) for a relaxed structure of Mg3Cd3In2. Values from VASP.

Summary:
- Theoretical density: 5.781 g/cm³
- Crystal system: orthorhombic
- Space group: Immm, No. 71

Geometry as Quantum ESPRESSO input:
```
&SYSTEM
  ibrav = 0, nat = 8, ntyp = 3
/
ATOMIC_SPECIES
Mg 24.30 Mg.upf
Cd 112.41 Cd.upf
In 114.82 In.upf
ATOMIC_POSITIONS crystal
Mg 0.123 0.123 0.246
Mg 0.000 0.500 0.000
Mg 0.877 0.877 0.754
Cd 0.617 0.617 0.235
Cd 0.383 0.383 0.765
Cd 0.500 0.000 0.000
In 0.753 0.253 0.505
In 0.247 0.747 0.495
CELL_PARAMETERS angstrom
4.379 0.000 0.000
0.000 4.600 0.000
-2.190 -2.300 9.123
```

---

Number 1: formation enthalpy at 0 K -0.007 eV per atom. Number 2: formation enthalpy at 0 K 0.052 eV per atom. Number 3: formation enthalpy at 0 K -0.005 eV per atom. Number 4: formation enthalpy at 0 K -0.058 eV per atom. Number 5: formation enthalpy at 0 K 0.013 eV per atom. Number 6: formation enthalpy at 0 K 0.064 eV per atom. Number 7: formation enthalpy at 0 K -0.023 eV per atom. Number 8: formation enthalpy at 0 K -0.062 eV per atom.